Entry 1:
A relaxed structure of LiAgRh, computed with PBE.

abc: 4.822 4.822 4.822
angles: 147.94 128.94 61.57
Sites, in units of the cell vectors:
Ag1 0.002 0.002 0.000
Li1 0.331 0.331 0.000
Rh1 0.667 0.667 0.000

Properties
space group = Imm2, No. 44

Entry 2:
A relaxed structure of Li2AgRh, computed with PBE.

abc: 9.021 9.021 9.021
angles: 17.77 17.77 17.77
Site moments in Bohr magnetons follow the coordinates.
Sites, in units of the cell vectors:
Rh1 0.250 0.250 0.250  0.20
Ag1 0.750 0.750 0.750  0.01
Li1 0.994 0.994 0.994  0.00
Li2 0.506 0.506 0.506  0.00

Properties
space group = R-3m, No. 166

Formation energy in meV/atom, matching the order above: 47 -111
Uncorrected energy in eV per atom, matching the order above: -3.992 -3.619